Density functional theory data (PBE) for a geometry-optimized Cd2PSe structure.

Lattice parameters (Å, degrees): 6.7231 6.7231 6.7231 146.48 146.48 48.13
Each line ends with the local moment (μB).
Fractional positions:
Cd1 0.0000 0.0000 0.0000  0.00
Cd2 0.2500 0.7500 0.5000  0.00
P1 0.5000 0.5000 0.0000  0.15
Se1 0.7500 0.2500 0.5000  0.06



Density functional theory data (PBE) for a geometry-optimized Cd2PSe structure.

Lattice parameters (Å, degrees): 4.9170 4.9170 4.9170 60.00 60.00 60.00
Fractional positions:
P1 0.0000 0.0000 0.0000
Se1 0.5000 0.5000 0.5000
Cd1 0.2500 0.2500 0.2500
Cd2 0.7500 0.7500 0.7500



no.,formation energy without anion corrections (meV per atom),E (eV/atom)
1,199.3,-2.482
2,294.8,-2.386